# 1
TlGaSbI2: optimized geometry, PBE-GGA.

Results
D(E_F) in states/eV/f.u.: 3.3
Total magnetization in μB/f.u.: 1.61
Energy relative to the elements, uncorrected in eV per atom: -0.014
E above lowest polymorph in meV per atom: 0

Cell: 5.9935 5.9935 5.4216 Å, 90.00 90.00 90.00°
Space group P4/mmm (No. 123)
Unique sites:
Tl (0.0000, 0.0000, 0.0000) [1 per cell]
Ga (0.5000, 0.5000, 0.5000) [1 per cell]
Sb (0.5000, 0.5000, 0.0000) [1 per cell]
I (0.0000, 0.5000, 0.5000) [2 per cell]


# 2
GaSb2WI: optimized geometry, PBE-GGA.

Results
D(E_F) in states/eV/f.u.: 4.5
Total magnetization in μB/f.u.: 3.39
Energy relative to the elements, uncorrected in eV per atom: 1.507
E above lowest polymorph in meV per atom: 889

Cell: 5.2462 5.2462 5.4123 Å, 90.00 90.00 90.00°
Space group P4/mmm (No. 123)
Unique sites:
Ga (0.0000, 0.0000, 0.0000) [1 per cell]
Sb (0.0000, 0.5000, 0.0000) [2 per cell]
W (0.5000, 0.5000, 0.5000) [1 per cell]
I (0.0000, 0.0000, 0.5000) [1 per cell]


# 3
GaSb2WI: optimized geometry, PBE-GGA.

Results
D(E_F) in states/eV/f.u.: 2.8
Total magnetization in μB/f.u.: 0.66
Energy relative to the elements, uncorrected in eV per atom: 0.618
E above lowest polymorph in meV per atom: 0

Cell: 5.1998 5.1998 6.0470 Å, 90.00 90.00 90.00°
Space group P4/mmm (No. 123)
Unique sites:
Ga (0.0000, 0.0000, 0.0000) [1 per cell]
Sb (0.0000, 0.5000, 0.5000) [2 per cell]
W (0.5000, 0.5000, 0.5000) [1 per cell]
I (0.5000, 0.5000, 0.0000) [1 per cell]


| no. | DFT total energy (eV per atom) |
| --- | --- |
| 1 | -2.54 |
| 2 | -3.65 |
| 3 | -4.54 |